The following is a PBE with a Hubbard U calculation of crystalline Li2MnO2F at its relaxed geometry, from the Alexandria database.

Properties
M_tot   32.0 μB per cell
Energy above the lowest structure with this stoichiometry   65 meV/atom
ρ   3.5 g/cm³

abc: 5.1796 8.9573 9.8413
angles: 90.00 100.02 90.00
Closest atoms and distances in Å follow each position.
Space group C2/c (No. 15)
Inequivalent atoms, fractional coordinates:
Li 0.0000 0.2339 0.2500 (multiplicity 4)  4 O 2.05-2.16, 2 F 2.20
Li 0.2325 0.0977 0.5040 (multiplicity 8)  3 O 2.00-2.20, 1 F 2.06
Li 0.2500 0.2500 0.0000 (multiplicity 4)  2 F 2.07, 4 O 2.08-2.28
Mn 0.0000 0.0887 0.7500 (multiplicity 4)  4 O 1.96-1.98
Mn 0.0000 0.4120 0.7500 (multiplicity 4)  4 O 1.95-2.04, 2 F 2.18
O 0.1096 0.2442 0.6324 (multiplicity 8)  2 Mn 1.96-2.04, 3 Li 2.00-2.16
O 0.1480 0.0673 0.1438 (multiplicity 8)  2 Mn 1.95-1.98, 2 Li 2.05-2.12
F 0.1063 0.4128 0.1165 (multiplicity 8)  4 Li 2.06-2.28, 2 Mn 2.18-2.23